Computed, not measured: Zr2FeP after structural relaxation at the PBE level of DFT.

a = 4.763 Å, b = 4.763 Å, c = 4.763 Å
α = 126.87°, β = 126.54°, γ = 78.73°
Fractional coordinates of all 4 atoms:
Zr  0.250  0.250  0.000
Zr  0.750  0.750  0.000
Fe  0.500  0.000  0.500
P  0.000  0.500  0.500

**Formation energy**: -0.418 eV/atom
**N(E_F)**: 2.941 states/eV/cell
**Total magnetic moment**: 1.443 μB per cell
**SG**: Immm (71)

=====

Computed, not measured: PrY4Tm4 after structural relaxation at the PBE level of DFT.

a = 9.145 Å, b = 9.145 Å, c = 10.860 Å
α = 93.18°, β = 93.18°, γ = 140.10°
Fractional coordinates of all 18 atoms:
Pr  0.225  0.225  0.281
Pr  0.775  0.775  0.719
Y  0.180  0.805  0.331
Y  0.195  0.820  0.669
Y  0.224  0.224  0.612
Y  0.225  0.225  0.944
Y  0.775  0.775  0.056
Y  0.776  0.776  0.388
Y  0.805  0.180  0.331
Y  0.820  0.195  0.669
Tm  0.188  0.812  0.000
Tm  0.354  0.638  0.164
Tm  0.357  0.643  0.500
Tm  0.362  0.646  0.836
Tm  0.638  0.354  0.164
Tm  0.643  0.357  0.500
Tm  0.646  0.362  0.836
Tm  0.812  0.188  0.000

**Formation energy**: 0.090 eV/atom
**N(E_F)**: 24.776 states/eV/cell
**Total magnetic moment**: 0.000 μB per cell
**SG**: C2/m (12)

=====

Computed, not measured: V4Si2Ge after structural relaxation at the PBE level of DFT.

a = 6.323 Å, b = 6.323 Å, c = 6.323 Å
α = 109.42°, β = 109.42°, γ = 109.57°
Fractional coordinates of all 14 atoms:
V  0.134  0.719  0.748
V  0.136  0.221  0.752
V  0.281  0.029  0.415
V  0.469  0.384  0.248
V  0.614  0.866  0.585
V  0.616  0.864  0.085
V  0.779  0.531  0.915
V  0.971  0.386  0.252
Si  0.246  0.625  0.121
Si  0.375  0.496  0.621
Si  0.504  0.125  0.879
Si  0.875  0.754  0.379
Ge  0.000  0.000  0.000
Ge  0.750  0.250  0.500

**N(E_F)**: 15.209 states/eV/cell
**Total magnetic moment**: 0.000 μB per cell
**SG**: I-42d (122)
**VASP energy**: -7.747 eV/atom

=====

Computed, not measured: La2CdGe3Pt6 after structural relaxation at the PBE level of DFT.

a = 4.127 Å, b = 4.127 Å, c = 16.173 Å
α = 90.00°, β = 90.00°, γ = 90.00°
Fractional coordinates of all 12 atoms:
La  0.000  0.000  0.208
La  0.000  0.000  0.792
Cd  0.000  0.000  0.500
Ge  0.500  0.500  0.000
Ge  0.500  0.500  0.299
Ge  0.500  0.500  0.701
Pt  0.000  0.500  0.380
Pt  0.000  0.500  0.620
Pt  0.500  0.000  0.380
Pt  0.500  0.000  0.620
Pt  0.500  0.500  0.146
Pt  0.500  0.500  0.854

**Formation energy**: -0.636 eV/atom
**N(E_F)**: 5.909 states/eV/cell
**Total magnetic moment**: 0.000 μB per cell
**SG**: P4/mmm (123)